Record 1
The following is a DFT calculation (PBE) of a relaxed structure of Ho3Cd2Ag8.

## Properties
Calculated total energy in eV per atom: -3.029

Cell lengths 5.5136, 5.5136, 32.7236 Å; angles 90.00, 90.00, 120.00 degrees
Space group R-3m (No. 166, hexagonal axes)
Asymmetric unit:
Ho1 0.0000 0.0000 0.0000 [3 per cell]
Ho2 0.0000 0.0000 0.1878 [6 per cell]
Cd1 0.0000 0.0000 0.3627 [6 per cell]
Ag1 0.0000 0.0000 0.2793 [6 per cell]
Ag2 0.0023 0.5012 0.7688 [18 per cell]



Record 2
The following is a DFT calculation (PBE) of a relaxed structure of Y6Te2Pd.

## Properties
Calculated total energy in eV per atom: -6.410
Uncorrected formation energy in kJ per mole of atoms: -80

Cell lengths 21.970, 4.033, 11.572 Å; angles 90.00, 90.00, 90.00 degrees
Space group Pnma (No. 62)
Asymmetric unit:
Y1 0.012 0.250 0.114 [4 per cell]
Y2 0.025 0.750 0.379 [4 per cell]
Y3 0.109 0.250 0.822 [4 per cell]
Y4 0.145 0.750 0.073 [4 per cell]
Y5 0.154 0.250 0.538 [4 per cell]
Y6 0.235 0.750 0.750 [4 per cell]
Te1 0.126 0.250 0.276 [4 per cell]
Te2 0.239 0.250 0.965 [4 per cell]
Pd1 0.074 0.750 0.644 [4 per cell]



Record 3
The following is a DFT calculation (PBE) of a relaxed structure of Cs2BiP.

## Properties
Calculated total energy in eV per atom: -2.396

Cell lengths 8.804, 8.804, 8.804 Å; angles 90.00, 90.00, 90.00 degrees
Space group Fm-3m (No. 225)
Asymmetric unit:
Cs1 0.250 0.250 0.250 [8 per cell]
Bi1 0.000 0.000 0.000 [4 per cell]
P1 0.000 0.000 0.500 [4 per cell]



Record 4
The following is a DFT calculation (PBE) of a relaxed structure of Ca2PdPtN.

## Properties
Polymorph energy (0 for the lowest one) in meV per atom: 46
Calculated total energy in eV per atom: -5.332
Uncorrected formation energy in kJ per mole of atoms: -60

Cell lengths 4.966, 4.966, 3.869 Å; angles 90.00, 90.00, 90.00 degrees
Space group P4/mmm (No. 123)
Asymmetric unit:
Ca1 0.000 0.500 0.000 [2 per cell]
Pd1 0.000 0.000 0.500 [1 per cell]
Pt1 0.500 0.500 0.500 [1 per cell]
N1 0.000 0.000 0.000 [1 per cell]



Question: Number 1 is which compound?
Answer: Ho3Cd2Ag8



Question: Which of these has the highest calculated total energy?
Answer: Cs2BiP



Question: What is the formula in the second record?
Answer: Y6Te2Pd



Question: The lowest calculated total energy belongs to which entry?
Answer: Y6Te2Pd